First-principles (PBE-GGA) data for a relaxed structure of Pr2DyCo9, as listed in the Alexandria database.

Unit cell a=5.009 b=5.009 c=8.839 alpha=73.54 beta=73.54 gamma=60.00
Fractional positions:
Pr 0.861 0.861 0.418
Pr 0.139 0.139 0.582
Dy 0.000 0.000 0.000
Co 0.667 0.667 0.999
Co 0.333 0.333 0.001
Co 0.500 0.500 0.500
Co 0.424 0.424 0.234
Co 0.918 0.424 0.234
Co 0.424 0.918 0.234
Co 0.576 0.576 0.766
Co 0.576 0.082 0.766
Co 0.082 0.576 0.766

Output
Raw total energy in eV for the cell shown: -78.85
Energy of formation from the pure elements in meV/atom: -62
Space group: No. 166

First-principles (PBE-GGA) data for a relaxed structure of TaMo, as listed in the Alexandria database.

Unit cell a=3.227 b=6.473 c=7.250 alpha=62.95 beta=90.00 gamma=90.00
Fractional positions:
Mo 0.000 0.000 0.004
Mo 0.500 0.129 0.247
Mo 0.000 0.248 0.498
Mo 0.000 0.495 0.002
Ta 0.500 0.370 0.753
Ta 0.500 0.621 0.246
Ta 0.000 0.757 0.495
Ta 0.500 0.879 0.754

Output
Raw total energy in eV for the cell shown: -91.96
Energy of formation from the pure elements in meV/atom: -153
Space group: No. 6

First-principles (PBE-GGA) data for a relaxed structure of Sr3Pr2UN6, as listed in the Alexandria database.

Unit cell a=6.347 b=6.347 c=6.417 alpha=99.53 beta=99.53 gamma=120.00
Fractional positions:
Sr 0.164 0.836 0.500
Sr 0.836 0.164 0.500
Sr 0.500 0.500 0.500
Pr 0.333 0.667 0.000
Pr 0.667 0.333 0.000
U 0.000 0.000 0.000
N 0.930 0.634 0.791
N 0.774 0.774 0.207
N 0.070 0.366 0.209
N 0.634 0.930 0.791
N 0.226 0.226 0.793
N 0.366 0.070 0.209

Output
Raw total energy in eV for the cell shown: -89.89
Space group: No. 12
Raw formation energy in eV/atom: -1.17

First-principles (PBE-GGA) data for a relaxed structure of Th3Tl2H2, as listed in the Alexandria database.

Unit cell a=3.831 b=6.247 c=8.841 alpha=102.66 beta=90.00 gamma=127.83
Fractional positions:
Th 0.000 0.000 0.000
Th 0.124 0.625 0.247
Th 0.876 0.375 0.753
Tl 0.804 0.804 0.608
Tl 0.196 0.196 0.392
H 0.769 0.269 0.000
H 0.231 0.731 0.000

Output
Raw total energy in eV for the cell shown: -35.44
Space group: No. 10

First-principles (PBE-GGA) data for a relaxed structure of YMgFe, as listed in the Alexandria database.

Unit cell a=4.816 b=4.816 c=4.816 alpha=60.00 beta=60.00 gamma=60.00
Fractional positions:
Fe 0.000 0.000 0.000
Mg 0.500 0.500 0.500
Y 0.750 0.750 0.750

Output
Raw total energy in eV for the cell shown: -13.59
Energy of formation from the pure elements in meV/atom: 976
Space group: No. 216

First-principles (PBE-GGA) data for a relaxed structure of Sr2Sm4Sn3O2, as listed in the Alexandria database.

Unit cell a=4.871 b=4.871 c=13.443 alpha=100.44 beta=100.44 gamma=90.00
Fractional positions:
Sr 0.303 0.303 0.607
Sr 0.697 0.697 0.393
Sm 0.416 0.916 0.833
Sm 0.916 0.416 0.833
Sm 0.084 0.584 0.167
Sm 0.584 0.084 0.167
Sn 0.000 0.000 0.000
Sn 0.169 0.169 0.337
Sn 0.831 0.831 0.663
O 0.407 0.407 0.813
O 0.593 0.593 0.187

Output
Raw total energy in eV for the cell shown: -60.67
Space group: No. 139
Raw formation energy in eV/atom: -1.50

First-principles (PBE-GGA) data for a relaxed structure of LaV2ZnB, as listed in the Alexandria database.

Unit cell a=4.652 b=4.518 c=4.652 alpha=90.00 beta=90.00 gamma=90.00
Fractional positions:
Zn 0.500 0.500 0.500
V 0.000 0.000 0.500
V 0.500 0.000 0.000
B 0.000 0.500 0.000
La 0.000 0.000 0.000

Output
Raw total energy in eV for the cell shown: -20.65
Energy of formation from the pure elements in meV/atom: 2093
Space group: No. 123

First-principles (PBE-GGA) data for a relaxed structure of K2LiCdBr5, as listed in the Alexandria database.

Unit cell a=4.312 b=9.766 c=13.949 alpha=90.00 beta=90.00 gamma=102.75
Fractional positions:
K 0.872 0.744 0.813
K 0.104 0.207 0.676
K 0.128 0.256 0.313
K 0.896 0.793 0.176
Li 0.566 0.132 0.939
Li 0.434 0.868 0.439
Cd 0.788 0.576 0.525
Cd 0.212 0.424 0.025
Br 0.354 0.708 0.002
Br 0.697 0.394 0.886
Br 0.502 0.003 0.785
Br 0.282 0.564 0.662
Br 0.935 0.869 0.537
Br 0.646 0.292 0.502
Br 0.303 0.606 0.386
Br 0.498 0.997 0.285
Br 0.718 0.436 0.162
Br 0.065 0.131 0.037

Output
Raw total energy in eV for the cell shown: -52.06
Space group: No. 36
Raw formation energy in eV/atom: -1.40

First-principles (PBE-GGA) data for a relaxed structure of Ce2HoTmS4, as listed in the Alexandria database.

Unit cell a=3.910 b=6.783 c=6.927 alpha=109.03 beta=90.00 gamma=90.00
Fractional positions:
Ce 0.500 0.000 0.500
Ce 0.000 0.500 0.500
Ho 0.500 0.500 0.000
Tm 0.000 0.000 0.000
S 0.500 0.243 0.233
S 0.500 0.757 0.767
S 0.000 0.253 0.765
S 0.000 0.747 0.235

Output
Raw total energy in eV for the cell shown: -53.53
Space group: No. 10
Raw formation energy in eV/atom: -2.01

First-principles (PBE-GGA) data for a relaxed structure of CoBI2, as listed in the Alexandria database.

Unit cell a=4.949 b=4.949 c=4.949 alpha=60.00 beta=60.00 gamma=60.00
Fractional positions:
I 0.250 0.250 0.250
I 0.750 0.750 0.750
B 0.000 0.000 0.000
Co 0.500 0.500 0.500

Output
Raw total energy in eV for the cell shown: -11.01
Space group: No. 225
Raw formation energy in eV/atom: 1.47

First-principles (PBE-GGA) data for a relaxed structure of DyCuGe, as listed in the Alexandria database.

Unit cell a=4.399 b=4.399 c=4.399 alpha=60.00 beta=60.00 gamma=60.00
Fractional positions:
Ge 0.000 0.000 0.000
Cu 0.250 0.250 0.250
Dy 0.500 0.500 0.500

Output
Raw total energy in eV for the cell shown: -15.06
Energy of formation from the pure elements in meV/atom: -581
Space group: No. 216

First-principles (PBE-GGA) data for a relaxed structure of Rb2BaScGa, as listed in the Alexandria database.

Unit cell a=7.290 b=5.833 c=7.290 alpha=90.00 beta=90.00 gamma=90.00
Fractional positions:
Sc 0.500 0.500 0.500
Ga 0.000 0.500 0.000
Ba 0.000 0.000 0.000
Rb 0.000 0.000 0.500
Rb 0.500 0.000 0.000

Output
Raw total energy in eV for the cell shown: -8.13
Energy of formation from the pure elements in meV/atom: 1017
Space group: No. 123

First-principles (PBE-GGA) data for a relaxed structure of Tc2RhBr, as listed in the Alexandria database.

Unit cell a=2.825 b=2.825 c=9.326 alpha=90.00 beta=90.00 gamma=118.50
Fractional positions:
Rh 0.500 0.500 0.768
Tc 0.000 0.000 0.005
Tc 0.500 0.500 0.232
Br 0.000 0.000 0.495

Output
Raw total energy in eV for the cell shown: -27.11
Space group: No. 35
Raw formation energy in eV/atom: 0.66

First-principles (PBE-GGA) data for a relaxed structure of Ba3P, as listed in the Alexandria database.

Unit cell a=12.090 b=12.090 c=12.090 alpha=22.10 beta=22.10 gamma=22.10
Fractional positions:
P 0.000 0.000 0.000
Ba 0.285 0.285 0.285
Ba 0.500 0.500 0.500
Ba 0.715 0.715 0.715

Output
Raw total energy in eV for the cell shown: -13.51
Energy of formation from the pure elements in meV/atom: -583
Space group: No. 166

First-principles (PBE-GGA) data for a relaxed structure of Pr5DyAl3, as listed in the Alexandria database.

Unit cell a=6.875 b=9.344 c=9.380 alpha=119.87 beta=90.00 gamma=90.00
Fractional positions:
Pr 0.000 0.656 0.312
Pr 0.500 0.344 0.688
Pr 0.000 0.344 0.688
Pr 0.500 0.656 0.312
Pr 0.750 0.667 0.662
Pr 0.750 0.006 0.338
Pr 0.750 0.328 0.000
Pr 0.250 0.333 0.338
Pr 0.250 0.994 0.662
Pr 0.250 0.672 0.000
Dy 0.000 0.000 0.000
Dy 0.500 0.000 0.000
Al 0.750 0.330 0.329
Al 0.750 0.001 0.671
Al 0.750 0.673 0.000
Al 0.250 0.670 0.671
Al 0.250 0.999 0.329
Al 0.250 0.327 0.000

Output
Raw total energy in eV for the cell shown: -83.47
Energy of formation from the pure elements in meV/atom: -223
Space group: No. 63

First-principles (PBE-GGA) data for a relaxed structure of LiYPt2, as listed in the Alexandria database.

Unit cell a=3.620 b=3.620 c=5.700 alpha=90.00 beta=90.00 gamma=90.00
Fractional positions:
Li 0.500 0.500 0.808
Pt 0.000 0.000 0.960
Pt 0.500 0.500 0.258
Y 0.000 0.000 0.474

Output
Raw total energy in eV for the cell shown: -23.13
Energy of formation from the pure elements in meV/atom: -668
Space group: No. 99

First-principles (PBE-GGA) data for a relaxed structure of LuAlZnAu, as listed in the Alexandria database.

Unit cell a=4.709 b=4.709 c=4.709 alpha=60.00 beta=60.00 gamma=60.00
Fractional positions:
Zn 0.000 0.000 0.000
Lu 0.250 0.250 0.250
Au 0.500 0.500 0.500
Al 0.750 0.750 0.750

Output
Raw total energy in eV for the cell shown: -14.89
Energy of formation from the pure elements in meV/atom: -520
Space group: No. 216

First-principles (PBE-GGA) data for a relaxed structure of NpSBrF, as listed in the Alexandria database.

Unit cell a=4.007 b=4.007 c=7.592 alpha=90.03 beta=105.27 gamma=120.01
Fractional positions:
Np 0.818 0.273 0.091
S 0.012 0.870 0.882
Br 0.348 0.039 0.387
F 0.515 0.622 0.136

Output
Raw total energy in eV for the cell shown: -28.02
Space group: No. 160
Raw formation energy in eV/atom: -1.85

First-principles (PBE-GGA) data for a relaxed structure of CdNiPb2, as listed in the Alexandria database.

Unit cell a=5.749 b=5.749 c=5.749 alpha=134.99 beta=134.99 gamma=65.55
Fractional positions:
Cd 0.500 0.500 0.000
Ni 0.750 0.250 0.500
Pb 0.000 0.000 0.000
Pb 0.250 0.750 0.500

Output
Raw total energy in eV for the cell shown: -12.74
Energy of formation from the pure elements in meV/atom: 343
Space group: No. 119

First-principles (PBE-GGA) data for a relaxed structure of LiCaTc2, as listed in the Alexandria database.

Unit cell a=4.652 b=4.652 c=4.652 alpha=60.00 beta=60.00 gamma=60.00
Fractional positions:
Ca 0.500 0.500 0.500
Tc 0.250 0.250 0.250
Tc 0.750 0.750 0.750
Li 0.000 0.000 0.000

Output
Raw total energy in eV for the cell shown: -20.31
Energy of formation from the pure elements in meV/atom: 1084
Space group: No. 225

First-principles (PBE-GGA) data for a relaxed structure of GaOsCl3, as listed in the Alexandria database.

Unit cell a=4.867 b=4.867 c=4.867 alpha=90.00 beta=90.00 gamma=90.00
Fractional positions:
Os 0.000 0.000 0.000
Ga 0.500 0.500 0.500
Cl 0.000 0.500 0.000
Cl 0.000 0.000 0.500
Cl 0.500 0.000 0.000

Output
Raw total energy in eV for the cell shown: -19.35
Space group: No. 221
Raw formation energy in eV/atom: 0.09

First-principles (PBE-GGA) data for a relaxed structure of YTiBe, as listed in the Alexandria database.

Unit cell a=4.260 b=4.260 c=6.382 alpha=90.00 beta=90.00 gamma=90.00
Fractional positions:
Be 0.500 0.000 0.704
Be 0.000 0.500 0.296
Y 0.500 0.000 0.143
Y 0.000 0.500 0.857
Ti 0.500 0.500 0.500
Ti 0.000 0.000 0.500

Output
Raw total energy in eV for the cell shown: -35.97
Energy of formation from the pure elements in meV/atom: 33
Space group: No. 129

First-principles (PBE-GGA) data for a relaxed structure of SmTh2Pb, as listed in the Alexandria database.

Unit cell a=5.163 b=4.863 c=4.863 alpha=90.00 beta=90.00 gamma=90.00
Fractional positions:
Pb 0.500 0.000 0.000
Sm 0.500 0.500 0.500
Th 0.000 0.000 0.500
Th 0.000 0.500 0.000

Output
Raw total energy in eV for the cell shown: -24.10
Energy of formation from the pure elements in meV/atom: -208
Space group: No. 123

First-principles (PBE-GGA) data for a relaxed structure of CaSiN, as listed in the Alexandria database.

Unit cell a=5.473 b=3.544 c=4.987 alpha=90.00 beta=90.00 gamma=90.00
Fractional positions:
Ca 0.250 0.000 0.752
Ca 0.750 0.000 0.248
Si 0.250 0.500 0.226
Si 0.750 0.500 0.774
N 0.000 0.500 0.000
N 0.500 0.500 0.000

Output
Raw total energy in eV for the cell shown: -36.24
Space group: No. 51
Raw formation energy in eV/atom: -0.79

First-principles (PBE-GGA) data for a relaxed structure of Ni3PtRh4, as listed in the Alexandria database.

Unit cell a=2.656 b=8.635 c=6.489 alpha=49.46 beta=101.81 gamma=90.00
Fractional positions:
Ni 0.000 0.500 0.000
Ni 0.134 0.614 0.269
Ni 0.866 0.386 0.731
Pt 0.500 0.000 0.000
Rh 0.726 0.281 0.452
Rh 0.274 0.719 0.548
Rh 0.129 0.123 0.257
Rh 0.871 0.877 0.743

Output
Raw total energy in eV for the cell shown: -51.70
Energy of formation from the pure elements in meV/atom: 137
Space group: No. 12

First-principles (PBE-GGA) data for a relaxed structure of LaCuN2O, as listed in the Alexandria database.

Unit cell a=4.434 b=4.434 c=4.415 alpha=90.00 beta=90.00 gamma=90.00
Fractional positions:
N 0.000 0.500 0.000
N 0.500 0.000 0.000
O 0.000 0.000 0.500
Cu 0.500 0.500 0.500
La 0.000 0.000 0.000

Output
Raw total energy in eV for the cell shown: -25.86
Space group: No. 123
Raw formation energy in eV/atom: 0.95